Record 1
Crystalline CuGeSe2 at its relaxed geometry, computed with PBE.

It has space group I-42d (No. 122), with a = 5.769 Å, b = 5.769 Å, c = 11.789 Å, α = 90.00°, β = 90.00° and γ = 90.00°. The distinct sites, in fractional coordinates, are Cu at (0.000, 0.000, 0.000), Ge at (0.000, 0.000, 0.500) and Se at (0.226, 0.250, 0.125).

The value obtained for the total energy is -4.042 eV/atom. The value obtained for the uncorrected formation energy is -0.121 eV/atom.

Record 2
Crystalline RbCdH at its relaxed geometry, computed with PBE.

It has space group P2_1/m (No. 11), with a = 3.882 Å, b = 5.143 Å, c = 7.743 Å, α = 90.00°, β = 90.63° and γ = 90.00°. The distinct sites, in fractional coordinates, are Rb at (0.008, 0.250, 0.326), Cd at (0.499, 0.250, 0.919) and H at (0.499, 0.250, 0.664).

The value obtained for the total energy is -1.812 eV/atom.

Record 3
Crystalline NaCe2Pr3Te6 at its relaxed geometry, computed with PBE.

It has space group C2/m (No. 12), with a = 19.733 Å, b = 4.495 Å, c = 9.100 Å, α = 90.00°, β = 103.50° and γ = 90.00°. The distinct sites, in fractional coordinates, are Na at (0.000, 0.000, 0.000), Ce at (0.167, 0.500, 0.335), Pr at (0.000, 0.000, 0.500), Pr at (0.166, 0.500, 0.828), Te at (0.002, 0.500, 0.248), Te at (0.166, 0.000, 0.083) and Te at (0.167, 0.000, 0.581).

The value obtained for the total energy is -5.250 eV/atom. The value obtained for the uncorrected formation energy is -1.386 eV/atom.

Record 4
Crystalline HoAl2Ga2Ag at its relaxed geometry, computed with PBE.

It has space group P-3m1 (No. 164), with a = 4.4356 Å, b = 4.4356 Å, c = 6.6068 Å, α = 90.00°, β = 90.00° and γ = 120.00°. The distinct sites, in fractional coordinates, are Ho at (0.0000, 0.0000, 0.0000), Al at (0.3333, 0.6667, 0.3065), Ga at (0.3333, 0.6667, 0.7596) and Ag at (0.0000, 0.0000, 0.5000).

The value obtained for the total energy is -3.793 eV/atom. As for the calculated formation energy: -0.2987 eV/atom.

Record 5
Crystalline LiNd2Pt4 at its relaxed geometry, computed with PBE.

It has space group Fmmm (No. 69), with a = 8.358 Å, b = 8.603 Å, c = 8.621 Å, α = 90.00°, β = 90.00° and γ = 90.00°. The distinct sites, in fractional coordinates, are Li at (0.000, 0.000, 0.000), Nd at (0.250, 0.250, 0.250), Pt at (0.000, 0.000, 0.278) and Pt at (0.000, 0.222, 0.500).

The value obtained for the total energy is -5.829 eV/atom. As for the calculated formation energy: -0.7418 eV/atom.

Record 6
Crystalline DyHo4Tm8 at its relaxed geometry, computed with PBE.

It has space group R-3m (No. 166, hexagonal axes), with a = 7.1899 Å, b = 7.1899 Å, c = 26.7395 Å, α = 90.00°, β = 90.00° and γ = 120.00°. The distinct sites, in fractional coordinates, are Dy at (0.0000, 0.0000, 0.0000), Ho at (0.0000, 0.0000, 0.5000), Ho at (0.0000, 0.5000, 0.5000), Tm at (0.0000, 0.0000, 0.2835) and Tm at (0.0372, 0.5186, 0.2682).

The value obtained for the total energy is -4.282 eV/atom. As for the calculated formation energy: 0.2324 eV/atom.

Record 7
Crystalline KMg2Sc at its relaxed geometry, computed with PBE.

It has space group Cm (No. 8), with a = 11.445 Å, b = 3.303 Å, c = 6.383 Å, α = 90.00°, β = 98.22° and γ = 90.00°. The distinct sites, in fractional coordinates, are K at (0.000, 0.000, 0.000), Mg at (0.015, 0.500, 0.500), Mg at (0.242, 0.000, 0.754) and Sc at (0.276, 0.500, 0.343).

The value obtained for the total energy is -2.348 eV/atom. As for the calculated formation energy: 0.3069 eV/atom.

Record 8
Crystalline MgCdIr2 at its relaxed geometry, computed with PBE.

It has space group F-43m (No. 216), with a = 6.409 Å, b = 6.409 Å, c = 6.409 Å, α = 90.00°, β = 90.00° and γ = 90.00°. The distinct sites, in fractional coordinates, are Mg at (0.000, 0.000, 0.000), Cd at (0.250, 0.250, 0.250), Ir at (0.000, 0.000, 0.500) and Ir at (0.250, 0.250, 0.750).

The value obtained for the total energy is -4.959 eV/atom. As for the calculated formation energy: 0.0988 eV/atom.

Record 9
Crystalline BaTaMnI2 at its relaxed geometry, computed with PBE.

It has space group P4/mmm (No. 123), with a = 5.458 Å, b = 5.458 Å, c = 6.609 Å, α = 90.00°, β = 90.00° and γ = 90.00°. The distinct sites, in fractional coordinates, are Ba at (0.000, 0.000, 0.000), Ta at (0.000, 0.000, 0.500), Mn at (0.500, 0.500, 0.000) and I at (0.000, 0.500, 0.500).

The value obtained for the total energy is -4.422 eV/atom. The value obtained for the uncorrected formation energy is 0.787 eV/atom.

Record 10
Crystalline KSr2Cu at its relaxed geometry, computed with PBE.

It has space group Immm (No. 71), with a = 4.129 Å, b = 6.781 Å, c = 12.899 Å, α = 90.00°, β = 90.00° and γ = 90.00°. The distinct sites, in fractional coordinates, are K at (0.000, 0.000, 0.000), Sr at (0.000, 0.500, 0.180) and Cu at (0.000, 0.000, 0.500).

The value obtained for the total energy is -1.981 eV/atom. As for the calculated formation energy: 0.1579 eV/atom.

Record 11
Crystalline TaTiOsPdPb at its relaxed geometry, computed with PBE.

It has space group Cm (No. 8), with a = 11.206 Å, b = 3.193 Å, c = 6.074 Å, α = 90.00°, β = 116.23° and γ = 90.00°. The distinct sites, in fractional coordinates, are Ta at (0.000, 0.000, 0.000), Ti at (0.010, 0.000, 0.510), Os at (0.129, 0.500, 0.859), Pd at (0.348, 0.000, 0.138) and Pb at (0.235, 0.500, 0.466).

The value obtained for the total energy is -7.905 eV/atom. As for the calculated formation energy: 0.0705 eV/atom.

Record 12
Crystalline Ta2CuAg at its relaxed geometry, computed with PBE.

It has space group Cmm2 (No. 35), with a = 3.696 Å, b = 4.266 Å, c = 8.451 Å, α = 90.00°, β = 90.00° and γ = 90.00°. The distinct sites, in fractional coordinates, are Ta at (0.000, 0.000, 0.000), Ta at (0.000, 0.500, 0.267), Cu at (0.000, 0.500, 0.769) and Ag at (0.000, 0.000, 0.537).

The value obtained for the total energy is -7.543 eV/atom. As for the calculated formation energy: 0.1198 eV/atom.

Record 13
Crystalline RbNiS2N at its relaxed geometry, computed with PBE.

It has space group P4/mmm (No. 123), with a = 5.828 Å, b = 5.828 Å, c = 5.111 Å, α = 90.00°, β = 90.00° and γ = 90.00°. The distinct sites, in fractional coordinates, are Rb at (0.000, 0.000, 0.000), Ni at (0.500, 0.500, 0.500), S at (0.000, 0.500, 0.000) and N at (0.000, 0.000, 0.500).

The value obtained for the total energy is -2.436 eV/atom. The value obtained for the uncorrected formation energy is 2.230 eV/atom.

Record 14
Crystalline SrNd3Tl2 at its relaxed geometry, computed with PBE.

It has space group C2/m (No. 12), with a = 17.476 Å, b = 5.570 Å, c = 9.442 Å, α = 90.00°, β = 116.74° and γ = 90.00°. The distinct sites, in fractional coordinates, are Sr at (0.129, 0.000, 0.189), Nd at (0.064, 0.000, 0.712), Nd at (0.118, 0.500, 0.529), Nd at (0.195, 0.500, 0.995), Tl at (0.006, 0.500, 0.165) and Tl at (0.228, 0.000, 0.611).

The value obtained for the total energy is -3.626 eV/atom. As for the calculated formation energy: -0.1729 eV/atom.

Record 15
Crystalline PrSmB at its relaxed geometry, computed with PBE.

It has space group C2/m (No. 12), with a = 10.365 Å, b = 4.963 Å, c = 6.331 Å, α = 90.00°, β = 118.14° and γ = 90.00°. The distinct sites, in fractional coordinates, are Pr at (0.154, 0.000, 0.489), Sm at (0.111, 0.500, 0.858) and B at (0.087, 0.000, 0.025).

The value obtained for the total energy is -5.330 eV/atom. As for the calculated formation energy: 0.0623 eV/atom.

Record 16
Crystalline K5O2 at its relaxed geometry, computed with PBE.

It has space group C2/c (No. 15), with a = 20.681 Å, b = 6.244 Å, c = 6.909 Å, α = 90.00°, β = 94.53° and γ = 90.00°. The distinct sites, in fractional coordinates, are K at (0.000, 0.033, 0.250), K at (0.089, 0.430, 0.881), K at (0.166, 0.046, 0.311) and O at (0.086, 0.195, 0.553).

The value obtained for the total energy is -2.999 eV/atom. The value obtained for the uncorrected formation energy is -0.798 eV/atom.

Record 17
Crystalline Ti3TlAs at its relaxed geometry, computed with PBE.

It has space group Pm-3m (No. 221), with a = 5.081 Å, b = 5.081 Å, c = 5.081 Å, α = 90.00°, β = 90.00° and γ = 90.00°. The distinct sites, in fractional coordinates, are Ti at (0.000, 0.000, 0.500), Tl at (0.000, 0.000, 0.000) and As at (0.500, 0.500, 0.500).

The value obtained for the total energy is -4.977 eV/atom. As for the calculated formation energy: 1.1627 eV/atom.

Record 18
Crystalline CaTc3F at its relaxed geometry, computed with PBE.

It has space group Pm-3m (No. 221), with a = 4.368 Å, b = 4.368 Å, c = 4.368 Å, α = 90.00°, β = 90.00° and γ = 90.00°. The distinct sites, in fractional coordinates, are Ca at (0.000, 0.000, 0.000), Tc at (0.000, 0.500, 0.500) and F at (0.500, 0.500, 0.500).

The value obtained for the total energy is -6.119 eV/atom. The value obtained for the uncorrected formation energy is 0.875 eV/atom.

Record 19
Crystalline ZrTiCd at its relaxed geometry, computed with PBE.

It has space group P4/nmm (No. 129, origin choice 2), with a = 3.027 Å, b = 3.027 Å, c = 13.431 Å, α = 90.00°, β = 90.00° and γ = 90.00°. The distinct sites, in fractional coordinates, are Zr at (0.250, 0.250, 0.232), Ti at (0.250, 0.250, 0.929) and Cd at (0.250, 0.250, 0.588).

The value obtained for the total energy is -5.837 eV/atom. As for the calculated formation energy: -0.0512 eV/atom.

Record 20
Crystalline Zn2NiAs at its relaxed geometry, computed with PBE.

It has space group P2/m (No. 10), with a = 2.849 Å, b = 4.815 Å, c = 4.339 Å, α = 90.00°, β = 94.73° and γ = 90.00°. The distinct sites, in fractional coordinates, are Zn at (0.242, 0.000, 0.258), Ni at (0.500, 0.500, 0.500) and As at (0.000, 0.500, 0.000).

The value obtained for the total energy is -3.198 eV/atom. As for the calculated formation energy: 0.0463 eV/atom.